# PBE-GGA Nd5HgPd2, relaxed
# crystal system	tetragonal
# magnetic moment	0.0	μB/f.u.
# final energy	-77.24	eV/cell
# Fermi-level density of states	16.88	states/eV/cell
# calculated formation energy	-512	meV per atom
data_Nd5HgPd2
_chemical_formula_sum 'Nd10 Hg2 Pd4'
_space_group_name_H-M_alt 'P 1'
_space_group_IT_number 1
_cell_length_a 8.870
_cell_length_b 8.870
_cell_length_c 8.870
_cell_angle_alpha 125.20
_cell_angle_beta 125.20
_cell_angle_gamma 81.21
loop_
_space_group_symop_operation_xyz
'x,y,z'
loop_
_atom_site_label
_atom_site_type_symbol
_atom_site_fract_x
_atom_site_fract_y
_atom_site_fract_z
_atom_site_occupancy
Nd1 Nd 0.000 0.000 0.000 1
Nd2 Nd 0.018 0.518 0.820 1
Nd3 Nd 0.198 0.018 0.500 1
Nd4 Nd 0.302 0.802 0.820 1
Nd5 Nd 0.482 0.302 0.500 1
Nd6 Nd 0.500 0.500 0.000 1
Nd7 Nd 0.518 0.698 0.500 1
Nd8 Nd 0.698 0.198 0.180 1
Nd9 Nd 0.802 0.982 0.500 1
Nd10 Nd 0.982 0.482 0.180 1
Hg1 Hg 0.250 0.250 0.000 1
Hg2 Hg 0.750 0.750 0.000 1
Pd1 Pd 0.129 0.371 0.500 1
Pd2 Pd 0.371 0.871 0.241 1
Pd3 Pd 0.629 0.129 0.759 1
Pd4 Pd 0.871 0.629 0.500 1